(1)
Compound: LiTc2Ru
Source: Alexandria via LeMat-Bulk
Functional: PBE-GGA
Structure: optimized geometry

Results
Relative energy among the computed polymorphs ... 126.3 meV per atom
Crystal system ... orthorhombic
DFT formation energy ... 292 meV/atom

Unit cell a=2.977 b=4.210 c=4.389 alpha=90.00 beta=90.00 gamma=90.00
Fractional coordinates of all 4 atoms:
Li 0.500 0.000 0.500
Ru 0.000 0.500 0.500
Tc 0.000 0.000 0.000
Tc 0.500 0.500 0.000

***

(2)
Compound: TlAsIrPbAuCl
Source: Alexandria via LeMat-Bulk
Functional: PBE-GGA
Structure: optimized geometry

Results
Relative energy among the computed polymorphs ... 173.7 meV per atom
Uncorrected formation energy ... -0.06 eV/atom
Crystal system ... triclinic

Unit cell a=4.210 b=6.025 c=6.786 alpha=109.21 beta=90.13 gamma=110.25
Fractional coordinates of all 6 atoms:
Cl 0.665 0.370 0.153
Ir 0.762 0.563 0.881
As 0.935 0.911 0.778
Pb 0.197 0.436 0.560
Tl 0.394 0.829 0.167
Au 0.501 0.045 0.622